DFT (GGA-PBE) results for crystalline SrLa3Te at its relaxed geometry.

E: -4.239 eV per atom
Formation energy without anion corrections: -0.32 eV/atom
Calculated volume: 45.89 A^3/atom
Excess energy over the best structure of this formula in the dataset: 0.000 kcal/mol of atoms

Lattice parameters (Å, degrees): 6.122 6.122 6.122 90.00 90.00 90.00
Positions (direct):
La (0.000, 0.000, 0.500)
La (0.500, 0.000, 0.000)
La (0.000, 0.500, 0.000)
Sr (0.500, 0.500, 0.500)
Te (0.000, 0.000, 0.000)